# 1
Here is Ac2Nd2Hg after structural relaxation from the Alexandria database. Energies are from PBE-GGA.

Cell: 8.6712 6.8137 9.4942 Å, 70.41 58.20 50.48°
With the nearest neighbours (Å) after each atom.
Fractional positions:
Ac (0.6587, 0.3824, 0.7287)  2 Hg 3.25-3.48
Ac (0.3413, 0.6176, 0.2713)  2 Hg 3.25-3.48
Ac (0.0411, 0.6176, 0.7287)  2 Hg 3.25-3.48
Ac (0.9589, 0.3824, 0.2713)  2 Hg 3.25-3.48
Nd (0.7283, 0.0000, 0.4262)  3 Nd 3.43-3.71, 4 Ac 3.73-3.77, 2 Hg 3.77
Nd (0.6058, 0.0000, 0.1204)  2 Hg 3.35, 3 Nd 3.58-3.71, 4 Ac 3.65-3.75
Nd (0.3942, 0.0000, 0.8796)  2 Hg 3.35, 3 Nd 3.58-3.71, 4 Ac 3.65-3.75
Nd (0.2717, 0.0000, 0.5738)  3 Nd 3.43-3.71, 4 Ac 3.73-3.77, 2 Hg 3.77
Hg (0.1460, 0.7081, 0.0000)  1 Hg 3.07, 2 Ac 3.25, 2 Nd 3.35
Hg (0.8540, 0.2919, 0.0000)  1 Hg 3.07, 2 Ac 3.25, 2 Nd 3.35

## Properties
**Theoretical density**: 8.5 g/cm3
**DFT total energy**: -3.673 eV/atom
**Space group**: C2/m
**Energy relative to the lowest polymorph listed for this composition**: 0.106 eV per atom

=====

# 2
Here is Ac3NdHg2 after structural relaxation from the Alexandria database. Energies are from PBE-GGA.

Cell: 7.9283 8.0298 9.5221 Å, 114.94 114.60 90.00°
With the nearest neighbours (Å) after each atom.
Fractional positions:
Ac (0.5000, 0.2500, 0.0000)  4 Hg 3.34
Ac (0.5000, 0.7500, 0.0000)  4 Hg 3.34
Ac (0.7733, 0.0233, 0.5466)  4 Hg 3.34-3.36
Ac (0.2267, 0.4767, 0.4534)  4 Hg 3.34-3.36
Ac (0.2267, 0.9767, 0.4534)  4 Hg 3.34-3.36
Ac (0.7733, 0.5233, 0.5466)  4 Hg 3.34-3.36
Nd (0.0000, 0.5000, 0.0000)  2 Hg 3.12
Nd (0.0000, 0.0000, 0.0000)  2 Hg 3.12
Hg (0.5723, 0.3636, 0.7272)  1 Nd 3.12, 6 Ac 3.34-3.36
Hg (0.8451, 0.1364, 0.2728)  1 Nd 3.12, 6 Ac 3.34-3.36
Hg (0.1549, 0.8636, 0.7272)  1 Nd 3.12, 6 Ac 3.34-3.36
Hg (0.4277, 0.6364, 0.2728)  1 Nd 3.12, 6 Ac 3.34-3.36

## Properties
**Theoretical density**: 8.3 g/cm3
**DFT total energy**: -3.049 eV/atom
**Space group**: Ibam
**Energy relative to the lowest polymorph listed for this composition**: 0.200 eV per atom

=====

# 3
Here is Ac2NdHg7 after structural relaxation from the Alexandria database. Energies are from PBE-GGA.

Cell: 5.2077 5.2077 12.5860 Å, 90.00 90.00 120.00°
With the nearest neighbours (Å) after each atom.
Fractional positions:
Ac (0.6667, 0.3333, 0.2659)  7 Hg 3.34-3.47
Ac (0.3333, 0.6667, 0.6438)  8 Hg 3.27-3.30
Nd (0.0000, 0.0000, 0.0056)  10 Hg 3.19-3.45
Hg (0.3333, 0.6667, 0.3815)  4 Hg 3.04-3.17, 4 Ac 3.30-3.34
Hg (0.3333, 0.6667, 0.1399)  2 Hg 2.95-3.04
Hg (0.0000, 0.0000, 0.4607)  6 Hg 3.17-3.18
Hg (0.0000, 0.0000, 0.7521)  1 Nd 3.19, 3 Ac 3.30, 3 Hg 3.45
Hg (0.6667, 0.3333, 0.5418)  3 Hg 3.18, 4 Ac 3.27-3.47
Hg (0.6667, 0.3333, 0.8864)  3 Hg 3.02, 3 Nd 3.36
Hg (0.3333, 0.6667, 0.9056)  4 Hg 2.95-3.02, 3 Nd 3.26, 1 Ac 3.30

## Properties
**Theoretical density**: 11.2 g/cm3
**DFT total energy**: -1.855 eV/atom
**Space group**: P3m1

=====

# 4
Here is Ac2Nd3Hg2 after structural relaxation from the Alexandria database. Energies are from PBE-GGA.

Cell: 3.8734 3.8193 16.5028 Å, 90.00 96.74 90.00°
With the nearest neighbours (Å) after each atom.
Fractional positions:
Ac (0.3028, 0.5000, 0.6057)  4 Hg 3.49, 4 Ac 3.82-3.87
Ac (0.6972, 0.5000, 0.3943)  4 Hg 3.49, 4 Ac 3.82-3.87
Nd (0.4252, 0.5000, 0.8503)  4 Hg 3.28, 4 Nd 3.66
Nd (0.5748, 0.5000, 0.1497)  4 Hg 3.28, 4 Nd 3.66
Nd (0.0000, 0.0000, 0.0000)  12 Nd 3.66-3.87
Hg (0.1306, 0.0000, 0.2612)  4 Nd 3.28, 4 Ac 3.49
Hg (0.8694, 0.0000, 0.7388)  4 Nd 3.28, 4 Ac 3.49

## Properties
**Theoretical density**: 8.8 g/cm3
**DFT total energy**: -3.510 eV/atom
**Space group**: Cmmm
**Energy relative to the lowest polymorph listed for this composition**: 0.004 eV per atom

=====

# 5
Here is Ac2Nd3Hg2 after structural relaxation from the Alexandria database. Energies are from PBE-GGA.

Cell: 4.9722 6.7833 8.6976 Å, 113.92 90.00 111.50°
With the nearest neighbours (Å) after each atom.
Fractional positions:
Ac (0.8628, 0.7256, 0.2083)  4 Hg 3.53-3.69, 4 Nd 3.78-3.90
Ac (0.1372, 0.2744, 0.7917)  4 Hg 3.53-3.69, 4 Nd 3.78-3.90
Nd (0.5000, 0.0000, 0.0000)  4 Hg 3.14
Nd (0.6318, 0.2636, 0.4617)  1 Hg 3.04
Nd (0.3682, 0.7364, 0.5383)  1 Hg 3.04
Hg (0.8544, 0.7089, 0.7974)  3 Nd 3.04-3.14
Hg (0.1456, 0.2911, 0.2026)  3 Nd 3.04-3.14

## Properties
**Theoretical density**: 8.7 g/cm3
**DFT total energy**: -3.513 eV/atom
**Space group**: C2/m
**Energy relative to the lowest polymorph listed for this composition**: 0.000 eV per atom

=====

# 6
Here is AcNd3Hg4 after structural relaxation from the Alexandria database. Energies are from PBE-GGA.

Cell: 5.4876 7.8373 10.9714 Å, 90.00 90.00 90.00°
With the nearest neighbours (Å) after each atom.
Fractional positions:
Ac (0.0000, 0.5000, 0.0000)  8 Hg 3.42
Ac (0.0000, 0.5000, 0.5000)  8 Hg 3.42
Nd (0.0000, 0.0000, 0.0000)  8 Hg 3.32
Nd (0.0000, 0.0000, 0.5000)  8 Hg 3.32
Nd (0.5004, 0.0000, 0.7500)  8 Hg 3.32
Nd (0.4996, 0.0000, 0.2500)  8 Hg 3.32
Nd (0.5004, 0.5000, 0.7500)  8 Hg 3.42
Nd (0.4996, 0.5000, 0.2500)  8 Hg 3.42
Hg (0.5000, 0.7614, 0.0000)  6 Nd 3.32-3.42, 2 Ac 3.42
Hg (0.5000, 0.7614, 0.5000)  6 Nd 3.32-3.42, 2 Ac 3.42
Hg (0.5000, 0.2386, 0.0000)  6 Nd 3.32-3.42, 2 Ac 3.42
Hg (0.5000, 0.2386, 0.5000)  6 Nd 3.32-3.42, 2 Ac 3.42
Hg (0.0003, 0.7614, 0.7500)  6 Nd 3.32-3.42, 2 Ac 3.42
Hg (0.9997, 0.7614, 0.2500)  6 Nd 3.32-3.42, 2 Ac 3.42
Hg (0.9997, 0.2386, 0.2500)  6 Nd 3.32-3.42, 2 Ac 3.42
Hg (0.0003, 0.2386, 0.7500)  6 Nd 3.32-3.42, 2 Ac 3.42

## Properties
**Theoretical density**: 10.3 g/cm3
**DFT total energy**: -2.915 eV/atom
**Space group**: P4/mmm

=====

# 7
Here is AcNd4Hg after structural relaxation from the Alexandria database. Energies are from PBE-GGA.

Cell: 3.7859 3.7859 14.4485 Å, 90.00 90.00 90.00°
With the nearest neighbours (Å) after each atom.
Fractional positions:
Ac (0.0000, 0.0000, 0.0000)  4 Ac 3.79, 8 Nd 3.83
Nd (0.5000, 0.5000, 0.1891)  8 Nd 3.68-3.79, 4 Ac 3.83
Nd (0.0000, 0.0000, 0.6364)  4 Hg 3.32, 4 Nd 3.68
Nd (0.0000, 0.0000, 0.3636)  4 Hg 3.32, 4 Nd 3.68
Nd (0.5000, 0.5000, 0.8109)  8 Nd 3.68-3.79, 4 Ac 3.83
Hg (0.5000, 0.5000, 0.5000)  8 Nd 3.32

## Properties
**Theoretical density**: 8.1 g/cm3
**DFT total energy**: -4.056 eV/atom
**Space group**: P4/mmm
**Energy relative to the lowest polymorph listed for this composition**: 0.000 eV per atom

=====

# 8
Here is AcNdHg after structural relaxation from the Alexandria database. Energies are from PBE-GGA.

Cell: 4.1512 5.4061 5.4061 Å, 120.00 90.00 90.00°
With the nearest neighbours (Å) after each atom.
Fractional positions:
Ac (0.0007, 0.0000, 0.0000)  6 Hg 3.74-3.76, 6 Nd 3.75, 2 Ac 4.15
Nd (0.5018, 0.6667, 0.3333)  3 Hg 3.12
Hg (0.4975, 0.3333, 0.6667)  3 Nd 3.12

## Properties
**Theoretical density**: 9.0 g/cm3
**DFT total energy**: -3.246 eV/atom
**Space group**: P3m1
**Energy relative to the lowest polymorph listed for this composition**: 0.118 eV per atom

=====

# 9
Here is Ac2Nd5Hg4 after structural relaxation from the Alexandria database. Energies are from PBE-GGA.

Cell: 3.7408 7.7618 13.2551 Å, 87.71 98.11 90.00°
With the nearest neighbours (Å) after each atom.
Fractional positions:
Ac (0.9036, 0.6999, 0.8073)  4 Hg 3.30-3.40, 1 Nd 3.67
Ac (0.0964, 0.3001, 0.1927)  4 Hg 3.30-3.40, 1 Nd 3.67
Nd (0.1425, 0.8335, 0.2851)  3 Hg 3.21-3.25
Nd (0.8575, 0.1665, 0.7149)  3 Hg 3.21-3.25
Nd (0.2341, 0.1984, 0.4683)  3 Hg 3.20-3.32
Nd (0.5000, 0.0000, 0.0000)  4 Hg 3.23
Nd (0.7659, 0.8016, 0.5317)  3 Hg 3.20-3.32
Hg (0.6820, 0.5127, 0.3640)  5 Nd 3.20-3.32, 2 Ac 3.40
Hg (0.0314, 0.6737, 0.0628)  3 Nd 3.21-3.23, 1 Hg 3.22, 2 Ac 3.30-3.35
Hg (0.3180, 0.4873, 0.6360)  5 Nd 3.20-3.32, 2 Ac 3.40
Hg (0.9686, 0.3263, 0.9372)  3 Nd 3.21-3.23, 1 Hg 3.22, 2 Ac 3.30-3.35

## Properties
**Theoretical density**: 8.6 g/cm3
**DFT total energy**: -3.147 eV/atom
**Space group**: C2/m

=====

# 10
Here is Ac2NdHg2 after structural relaxation from the Alexandria database. Energies are from PBE-GGA.

Cell: 3.9068 3.9677 11.3165 Å, 79.90 90.00 90.00°
With the nearest neighbours (Å) after each atom.
Fractional positions:
Ac (0.0000, 0.1735, 0.6531)  4 Hg 3.47, 1 Nd 3.87
Ac (0.0000, 0.8265, 0.3469)  4 Hg 3.47, 1 Nd 3.87
Nd (0.0000, 0.0000, 0.0000)  8 Hg 3.32
Hg (0.5000, 0.4192, 0.1616)  4 Nd 3.32, 4 Ac 3.47, 1 Hg 3.60
Hg (0.5000, 0.5808, 0.8384)  4 Nd 3.32, 4 Ac 3.47, 1 Hg 3.60

## Properties
**Theoretical density**: 9.6 g/cm3
**DFT total energy**: -3.015 eV/atom
**Space group**: Cmmm
**Energy relative to the lowest polymorph listed for this composition**: 0.021 eV per atom